Computed, not measured: a geometry-optimized LiTi2O4 structure at the PBE level of DFT.

Geometry as extended XYZ:
```
14
Lattice="3.823 0.000 0.000 0.000 4.077 0.000 0.000 0.000 9.191" Properties=species:S:1:pos:R:3 pbc="T T T"
Li 0.000 0.000 0.000
Li 1.911 2.038 4.596
Ti 0.000 0.000 5.246
Ti 0.000 2.038 7.266
Ti 1.911 0.000 2.671
Ti 1.911 2.038 0.651
O 0.000 0.000 3.075
O 0.000 0.000 7.202
O 0.000 2.038 0.225
O 0.000 2.038 5.283
O 1.911 0.000 0.688
O 1.911 0.000 4.820
O 1.911 2.038 2.606
O 1.911 2.038 7.670
```

Results
Theoretical density (g/cm³): 3.86
Space group: Imm2
ΔE to the lowest computed polymorph (eV/atom): 0.047
Uncorrected energy (Ry per atom): -0.5998

Computed, not measured: a geometry-optimized Li3Ti8O16 structure at the PBE level of DFT.

Geometry as extended XYZ:
```
54
Lattice="5.981 0.000 0.000 0.000 11.963 0.000 0.000 0.000 8.468" Properties=species:S:1:pos:R:3 pbc="T T T"
Li 1.495 0.030 1.070
Li 1.495 5.951 1.070
Li 1.495 8.972 3.205
Li 4.486 2.991 5.262
Li 4.486 6.012 7.397
Li 4.486 11.932 7.397
Ti 0.000 0.000 4.234
Ti 0.000 5.981 4.234
Ti 0.007 2.991 0.012
Ti 1.495 1.502 6.305
Ti 1.495 4.479 6.305
Ti 1.495 7.497 6.358
Ti 1.495 10.447 6.358
Ti 2.984 2.991 0.012
Ti 2.991 0.000 4.234
Ti 2.991 5.981 4.234
Ti 2.997 8.972 8.456
Ti 4.486 1.515 2.109
Ti 4.486 4.466 2.109
Ti 4.486 7.483 2.162
Ti 4.486 10.461 2.162
Ti 5.974 8.972 8.456
O 0.150 0.001 6.244
O 0.150 5.980 6.244
O 0.153 2.991 6.450
O 0.186 8.972 6.512
O 1.495 1.296 4.372
O 1.495 1.651 8.341
O 1.495 4.330 8.341
O 1.495 4.685 4.372
O 1.495 7.331 4.354
O 1.495 7.619 8.379
O 1.495 10.326 8.379
O 1.495 10.613 4.354
O 2.804 8.972 6.512
O 2.838 2.991 6.450
O 2.840 0.001 6.244
O 2.840 5.980 6.244
O 3.141 11.962 2.223
O 3.141 5.982 2.223
O 3.143 8.972 2.018
O 3.177 2.991 1.956
O 4.486 1.349 4.114
O 4.486 1.637 0.088
O 4.486 4.344 0.088
O 4.486 4.632 4.114
O 4.486 7.278 4.096
O 4.486 7.632 0.127
O 4.486 10.312 0.127
O 4.486 10.667 4.096
O 5.795 2.991 1.956
O 5.828 8.972 2.018
O 5.831 11.962 2.223
O 5.831 5.982 2.223
```

Results
Theoretical density (g/cm³): 3.62
Space group: Pmmn
Uncorrected energy (Ry per atom): -0.6142

Computed, not measured: a geometry-optimized LiTi4O8 structure at the PBE level of DFT.

Geometry as extended XYZ:
```
39
Lattice="5.792 0.000 0.000 0.545 7.250 0.000 0.276 1.964 9.988" Properties=species:S:1:pos:R:3 pbc="T T T"
Li 0.000 0.000 0.000
Li 2.088 7.734 2.556
Li 4.944 7.507 6.114
Ti 0.534 5.064 9.261
Ti 0.362 1.895 4.748
Ti 1.919 6.634 6.309
Ti 1.695 3.537 1.781
Ti 1.788 2.304 7.246
Ti 3.443 7.151 8.891
Ti 3.224 3.996 4.335
Ti 3.382 2.872 9.712
Ti 4.593 5.636 1.426
Ti 4.755 4.430 6.851
Ti 4.525 1.357 2.342
Ti 6.123 6.098 3.866
O 0.521 3.682 7.792
O 0.870 8.395 6.591
O 0.480 2.216 2.805
O 1.791 6.171 8.283
O 1.637 4.746 3.381
O 1.853 7.324 4.461
O 1.773 2.210 0.299
O 2.435 8.899 9.123
O 1.966 2.807 5.356
O 2.982 4.704 0.798
O 3.349 7.818 6.999
O 3.202 5.273 5.849
O 3.278 2.730 2.774
O 3.662 7.422 1.649
O 3.448 3.297 7.821
O 4.492 5.186 3.311
O 4.905 8.329 9.519
O 4.709 5.777 8.335
O 4.827 3.236 5.250
O 5.164 7.911 4.161
O 4.747 1.733 0.336
O 5.994 5.765 5.825
O 5.910 4.275 0.876
O 6.164 6.842 1.989
```

Results
Theoretical density (g/cm³): 3.88
Space group: P1
ΔE to the lowest computed polymorph (eV/atom): 0.000
Uncorrected energy (Ry per atom): -0.6270

Computed, not measured: a geometry-optimized Li2Ti13O22 structure at the PBE level of DFT.

Geometry as extended XYZ:
```
74
Lattice="5.792 -5.080 0.000 5.792 5.080 0.000 0.000 0.000 14.030" Properties=species:S:1:pos:R:3 pbc="T T T"
Li 5.792 4.393 12.601
Li 5.792 0.686 5.586
Li 5.792 -0.686 8.444
Li 5.792 -4.393 1.429
Ti 0.000 0.000 7.015
Ti 1.480 0.721 4.494
Ti 2.854 1.829 9.109
Ti 2.938 1.829 11.935
Ti 5.792 3.276 2.298
Ti 1.480 -0.721 9.536
Ti 2.751 0.000 0.000
Ti 3.041 0.000 7.015
Ti 4.312 0.721 2.521
Ti 5.792 1.803 9.313
Ti 2.854 -1.829 4.920
Ti 2.938 -1.829 2.095
Ti 4.312 -0.721 11.509
Ti 5.792 0.000 0.000
Ti 7.272 0.721 2.521
Ti 8.647 1.829 11.935
Ti 8.730 1.829 9.109
Ti 5.792 -1.803 4.716
Ti 7.272 -0.721 11.509
Ti 8.543 0.000 7.015
Ti 8.834 0.000 0.000
Ti 10.104 0.721 4.494
Ti 5.792 -3.276 11.731
Ti 8.647 -1.829 2.095
Ti 8.730 -1.829 4.920
Ti 10.104 -0.721 9.536
O 5.792 5.060 3.384
O 1.390 0.941 12.889
O 1.461 0.851 8.150
O 2.877 1.511 5.738
O 2.915 1.511 1.277
O 4.273 2.578 10.466
O 4.273 2.502 3.451
O 5.792 3.532 8.341
O 1.461 -0.851 5.880
O 1.390 -0.941 1.141
O 2.896 0.288 10.522
O 2.896 -0.288 3.507
O 4.402 0.941 8.156
O 4.331 0.851 12.895
O 5.792 1.548 1.327
O 7.312 2.578 10.466
O 7.312 2.502 3.451
O 2.877 -1.511 8.292
O 2.915 -1.511 12.753
O 4.331 -0.851 1.135
O 4.402 -0.941 5.874
O 5.792 0.020 10.399
O 5.792 -0.020 3.631
O 7.182 0.941 8.156
O 7.253 0.851 12.895
O 8.669 1.511 1.277
O 8.708 1.511 5.738
O 4.273 -2.502 10.578
O 4.273 -2.578 3.563
O 5.792 -1.548 12.703
O 7.253 -0.851 1.135
O 7.182 -0.941 5.874
O 8.688 0.288 10.522
O 8.688 -0.288 3.507
O 10.194 0.941 12.889
O 10.123 0.851 8.150
O 5.792 -3.532 5.688
O 7.312 -2.502 10.578
O 7.312 -2.578 3.563
O 8.669 -1.511 12.753
O 8.708 -1.511 8.292
O 10.123 -0.851 5.880
O 10.194 -0.941 1.141
O 5.792 -5.060 10.646
```

Results
Theoretical density (g/cm³): 3.98
Space group: Cmce
Uncorrected energy (Ry per atom): -0.6367

Computed, not measured: a geometry-optimized LiTi3O6 structure at the PBE level of DFT.

Geometry as extended XYZ:
```
20
Lattice="0.000 4.650 8.360 2.793 0.000 8.360 2.793 4.650 0.000" Properties=species:S:1:pos:R:3 pbc="T T T"
Li 0.698 1.162 2.090
Li 4.888 8.137 14.631
Ti 2.095 3.487 0.734
Ti 3.491 5.812 4.914
Ti 2.095 3.487 6.270
Ti 3.491 5.812 10.450
Ti 2.095 3.487 11.807
Ti 3.491 5.812 15.987
O 3.533 3.820 4.924
O 2.095 1.473 6.270
O 3.533 3.155 7.616
O 4.930 5.480 9.105
O 3.491 3.798 10.450
O 4.930 6.145 11.796
O 0.656 3.155 4.924
O 2.095 5.502 6.270
O 0.656 3.820 7.616
O 2.053 6.145 9.105
O 3.491 7.827 10.450
O 2.053 5.480 11.796
```

Results
Theoretical density (g/cm³): 3.77
Space group: Fddd
ΔE to the lowest computed polymorph (eV/atom): 0.008
Uncorrected energy (Ry per atom): -0.6174

Computed, not measured: a geometry-optimized Li4Ti5O12 structure at the PBE level of DFT.

Geometry as extended XYZ:
```
42
Lattice="4.223 -4.199 0.000 4.223 4.199 0.000 -4.158 0.000 12.692" Properties=species:S:1:pos:R:3 pbc="T T T"
Li 0.032 2.100 6.346
Li 1.104 3.118 9.519
Li -1.007 1.109 11.632
Li 1.072 -1.109 5.286
Li 2.112 -2.100 0.000
Li 3.216 1.109 7.406
Li 5.295 -1.109 1.060
Li 3.184 -3.118 3.173
Ti 0.000 0.000 0.000
Ti -2.079 0.000 6.346
Ti 2.057 2.083 4.278
Ti 0.094 0.004 8.328
Ti 2.173 -0.004 1.982
Ti 4.310 2.083 2.068
Ti -0.022 -2.083 10.624
Ti 2.115 0.004 10.710
Ti 4.194 -0.004 4.364
Ti 2.231 -2.083 8.413
O -1.958 0.067 8.342
O -0.106 1.914 8.495
O 0.121 -0.067 1.996
O 2.249 1.984 2.250
O 2.123 2.251 6.167
O 1.980 -0.001 0.145
O -0.099 0.001 6.491
O 4.244 2.251 0.179
O 4.118 1.984 4.096
O 2.247 0.125 4.168
O 0.168 -0.125 10.514
O 2.315 1.914 10.542
O 1.973 -1.914 2.149
O 4.120 0.125 2.178
O 2.041 -0.125 8.523
O 0.170 -1.984 8.596
O 0.044 -2.251 12.512
O 4.387 -0.001 6.201
O 2.308 0.001 12.546
O 2.165 -2.251 6.525
O 2.039 -1.984 10.442
O 4.167 0.067 10.696
O 4.394 -1.914 4.196
O 6.246 -0.067 4.350
```

Results
Theoretical density (g/cm³): 3.39
Space group: C2/c
ΔE to the lowest computed polymorph (eV/atom): 0.000
Uncorrected energy (Ry per atom): -0.5793

Computed, not measured: a geometry-optimized Li3Ti4O8 structure at the PBE level of DFT.

Geometry as extended XYZ:
```
15
Lattice="2.970 1.715 4.886 -2.970 1.715 4.886 0.000 -3.429 4.886" Properties=species:S:1:pos:R:3 pbc="T T T"
Li -1.485 -0.857 4.886
Li -1.485 0.857 9.773
Li 0.000 1.715 4.886
Ti 0.000 0.000 0.000
Ti -2.970 0.000 7.329
Ti -1.485 0.857 2.443
Ti 1.485 0.857 2.443
O -1.608 -0.928 8.534
O 0.000 -1.856 6.124
O -1.608 0.928 6.124
O 0.000 0.000 3.582
O 0.000 0.000 11.077
O 1.608 -0.928 8.534
O 0.000 1.856 8.534
O 1.608 0.928 6.124
```

Results
Theoretical density (g/cm³): 3.79
Space group: R-3m
ΔE to the lowest computed polymorph (eV/atom): 0.000
Uncorrected energy (Ry per atom): -0.5746

Computed, not measured: a geometry-optimized Li4Ti11O24 structure at the PBE level of DFT.

Geometry as extended XYZ:
```
39
Lattice="9.846 -2.996 0.000 9.846 2.996 0.000 -3.631 0.000 7.685" Properties=species:S:1:pos:R:3 pbc="T T T"
Li 0.000 0.000 0.000
Li 1.938 0.000 3.175
Li 7.275 0.000 5.682
Li 10.837 0.000 1.717
Ti 4.004 1.532 5.392
Ti -0.698 0.000 5.335
Ti 1.814 0.000 6.928
Ti 8.568 1.416 2.799
Ti 12.948 1.476 0.310
Ti 8.297 0.000 0.231
Ti 4.004 -1.532 5.392
Ti 8.568 -1.416 2.799
Ti 13.538 0.000 2.732
Ti 12.948 -1.476 0.310
Ti 16.212 0.000 4.134
O 4.961 1.696 3.694
O -0.079 0.000 3.550
O -1.612 0.000 7.377
O 3.258 1.287 7.197
O 7.745 1.685 4.735
O 4.447 0.000 0.776
O 2.876 0.000 4.927
O 9.317 1.402 1.052
O 10.287 1.714 6.230
O 5.290 0.000 6.110
O 7.428 0.000 2.165
O 12.361 1.388 2.138
O 3.258 -1.287 7.197
O 9.635 0.000 3.405
O 8.261 0.000 7.429
O 4.961 -1.696 3.694
O 9.317 -1.402 1.052
O 14.181 0.000 0.968
O 12.793 0.000 4.765
O 7.745 -1.685 4.735
O 12.361 -1.388 2.138
O 15.128 0.000 5.950
O 17.151 0.000 2.508
O 10.287 -1.714 6.230
```

Results
Theoretical density (g/cm³): 3.44
Space group: Cm
ΔE to the lowest computed polymorph (eV/atom): 0.035
Uncorrected energy (Ry per atom): -0.6109

Computed, not measured: a geometry-optimized Li5Ti8O16 structure at the PBE level of DFT.

Geometry as extended XYZ:
```
29
Lattice="5.336 0.000 0.000 -2.524 7.224 0.000 -2.155 -1.240 7.480" Properties=species:S:1:pos:R:3 pbc="T T T"
Li 0.000 0.000 0.000
Li -2.294 2.978 3.677
Li -2.958 5.393 4.376
Li -0.708 2.364 7.470
Li 0.885 1.665 4.385
Ti -0.991 0.371 2.621
Ti -1.890 0.705 5.366
Ti -3.193 3.336 6.537
Ti -1.970 4.970 1.671
Ti 0.445 4.008 2.614
Ti 0.711 -0.282 6.541
Ti 1.923 1.298 1.672
Ti -0.419 4.360 5.347
O -1.658 6.891 1.749
O -0.239 0.087 4.630
O -1.419 2.643 5.534
O -0.273 4.284 0.803
O -1.242 4.617 3.543
O -0.985 0.392 7.218
O -2.256 5.047 6.230
O 0.056 2.057 2.619
O 2.305 3.264 1.802
O -0.001 6.238 5.594
O 1.261 3.682 4.588
O 3.632 0.651 0.809
O 2.690 1.067 3.554
O 1.648 1.437 6.244
O 0.441 3.989 7.209
O 1.516 5.656 2.600
```

Results
Theoretical density (g/cm³): 3.88
Space group: P1
Uncorrected energy (Ry per atom): -0.5887

Computed, not measured: a geometry-optimized LiTi2O4 structure at the PBE level of DFT.

Geometry as extended XYZ:
```
14
Lattice="1.455 -4.798 0.000 1.455 4.798 0.000 0.000 0.000 9.925" Properties=species:S:1:pos:R:3 pbc="T T T"
Li 1.455 3.711 7.444
Li 1.455 -3.711 2.481
Ti 1.455 1.244 5.700
Ti 1.455 1.244 9.187
Ti 1.455 -1.244 0.738
Ti 1.455 -1.244 4.225
O 0.000 0.000 0.000
O 0.000 0.000 4.962
O 1.455 2.207 1.093
O 1.455 2.207 3.870
O 1.455 0.484 7.444
O 1.455 -0.484 2.481
O 1.455 -2.207 6.055
O 1.455 -2.207 8.832
```

Results
Theoretical density (g/cm³): 4.00
Space group: Cmcm
ΔE to the lowest computed polymorph (eV/atom): 0.046
Uncorrected energy (Ry per atom): -0.5998

Computed, not measured: a geometry-optimized Li2TiTlO structure at the PBE level of DFT.

Geometry as extended XYZ:
```
5
Lattice="4.243 0.000 0.000 0.000 4.243 0.000 0.000 0.000 3.975" Properties=species:S:1:pos:R:3 pbc="T T T"
Li 0.000 2.121 0.000
Li 2.121 0.000 0.000
Ti 0.000 0.000 1.987
Tl 2.121 2.121 1.987
O 0.000 0.000 0.000
```

Results
Theoretical density (g/cm³): 6.55
Space group: P4/mmm
Uncorrected energy (Ry per atom): -0.3581